Entry 1:
This record from Alexandria describes an optimized crystal structure of Pr7Ho2. The functional is GGA-PBE.

Unit cell a=10.0662 b=10.0662 c=3.6017 alpha=90.00 beta=90.00 gamma=120.00
Last column: nearest neighbours and their distance in Å.
Fractional positions:
Pr 0.0000 0.0000 0.0000  11 Pr 3.60-3.65
Pr 0.0000 0.3092 0.5000  2 Ho 3.48, 10 Pr 3.60-3.86
Pr 0.0000 0.6377 0.0000  9 Pr 3.60-3.86, 4 Ho 3.69
Pr 0.3092 0.0000 0.5000  2 Ho 3.48, 10 Pr 3.60-3.86
Pr 0.3623 0.3623 0.0000  9 Pr 3.60-3.86, 4 Ho 3.69
Pr 0.6377 0.0000 0.0000  9 Pr 3.60-3.86, 4 Ho 3.69
Pr 0.6908 0.6908 0.5000  2 Ho 3.48, 10 Pr 3.60-3.86
Ho 0.3333 0.6667 0.5000  9 Pr 3.48-3.69, 2 Ho 3.60
Ho 0.6667 0.3333 0.5000  9 Pr 3.48-3.69, 2 Ho 3.60

symmetry: No. 189
E_form: 34 kJ/mol of formula units


Entry 2:
This record from Alexandria describes an optimized crystal structure of AcMgTl. The functional is GGA-PBE.

Unit cell a=5.3150 b=5.3150 c=5.3150 alpha=60.00 beta=60.00 gamma=60.00
Last column: nearest neighbours and their distance in Å.
Fractional positions:
Ac 0.0000 0.0000 0.0000  4 Tl 3.25
Mg 0.5000 0.5000 0.5000  4 Tl 3.25
Tl 0.2500 0.2500 0.2500  4 Ac 3.25, 4 Mg 3.25

symmetry: No. 216
E_form: -55 kJ/mol of formula units


Entry 3:
This record from Alexandria describes an optimized crystal structure of MnGaOs2. The functional is GGA-PBE.

Unit cell a=3.0185 b=3.0185 c=6.0164 alpha=90.00 beta=90.00 gamma=90.00
Last column: nearest neighbours and their distance in Å.
Fractional positions:
Mn 0.0000 0.0000 0.0000  8 Os 2.59
Ga 0.0000 0.0000 0.5000  8 Os 2.64
Os 0.5000 0.5000 0.2426  4 Mn 2.59, 4 Ga 2.64
Os 0.5000 0.5000 0.7574  4 Mn 2.59, 4 Ga 2.64

symmetry: No. 123
E_form: 5 kJ/mol of formula units


Entry 4:
This record from Alexandria describes an optimized crystal structure of SmTh2ScBi5. The functional is GGA-PBE.

Unit cell a=5.5344 b=5.5344 c=11.4117 alpha=90.00 beta=90.00 gamma=90.00
Last column: nearest neighbours and their distance in Å.
Fractional positions:
Sm 0.0000 0.0000 0.0000  6 Bi 2.77-2.99
Th 0.5000 0.5000 0.2004  5 Bi 3.42-3.59
Th 0.5000 0.5000 0.7996  5 Bi 3.42-3.59
Sc 0.0000 0.0000 0.5000  2 Bi 2.72
Bi 0.0000 0.0000 0.2617  1 Sc 2.72, 1 Sm 2.99
Bi 0.0000 0.0000 0.7383  1 Sc 2.72, 1 Sm 2.99
Bi 0.0000 0.5000 0.0000  2 Sm 2.77
Bi 0.5000 0.0000 0.0000  2 Sm 2.77
Bi 0.5000 0.5000 0.5000  2 Th 3.42

symmetry: No. 123
E_form: 128 kJ/mol of formula units


Entry 5:
This record from Alexandria describes an optimized crystal structure of GeB2Br8. The functional is GGA-PBE.

Unit cell a=10.5343 b=10.5343 c=11.4703 alpha=122.90 beta=122.90 gamma=52.52
Last column: nearest neighbours and their distance in Å.
Fractional positions:
Ge 0.0208 0.9792 0.7500  4 Br 2.70-2.80
Ge 0.9792 0.0208 0.2500  4 Br 2.70-2.80
B 0.1492 0.6634 0.8604  4 Br 1.97-2.09
B 0.3366 0.8508 0.6396  4 Br 1.97-2.09
B 0.6634 0.1492 0.3604  4 Br 1.97-2.09
B 0.8508 0.3366 0.1396  4 Br 1.97-2.09
Br 0.0815 0.2356 0.2887  1 B 2.07
Br 0.1131 0.6719 0.0216  1 B 2.03
Br 0.1784 0.7393 0.5470  1 B 2.09
Br 0.2356 0.0815 0.7887  1 B 2.07
Br 0.2607 0.8216 0.9530  1 B 2.09
Br 0.2919 0.4313 0.7633  1 B 1.97
Br 0.3281 0.8869 0.4784  1 B 2.03
Br 0.4313 0.2919 0.2633  1 B 1.97
Br 0.5687 0.7081 0.7367  1 B 1.97
Br 0.6719 0.1131 0.5216  1 B 2.03
Br 0.7081 0.5687 0.2367  1 B 1.97
Br 0.7393 0.1784 0.0470  1 B 2.09
Br 0.7644 0.9185 0.2113  1 B 2.07
Br 0.8216 0.2607 0.4530  1 B 2.09
Br 0.8869 0.3281 0.9784  1 B 2.03
Br 0.9185 0.7644 0.7113  1 B 2.07

E_form (uncorrected): -0.475 eV per atom
symmetry: No. 15


Entry 6:
This record from Alexandria describes an optimized crystal structure of Ce3Os2C. The functional is GGA-PBE.

Unit cell a=7.4586 b=7.4586 c=3.2574 alpha=97.84 beta=97.84 gamma=41.77
Last column: nearest neighbours and their distance in Å.
Fractional positions:
Ce 0.0000 0.0000 0.0000  2 Os 2.51, 2 C 2.66
Ce 0.3630 0.3630 0.4359  2 C 2.45-2.54
Ce 0.6370 0.6370 0.5641  2 C 2.45-2.54
Os 0.1698 0.1698 0.8276  3 Ce 2.51-2.81
Os 0.8302 0.8302 0.1724  3 Ce 2.51-2.81
C 0.5000 0.5000 0.0000  6 Ce 2.45-2.66

symmetry: No. 12
E_form: -7 kJ/mol of formula units


Entry 7:
This record from Alexandria describes an optimized crystal structure of Ba2LiCu. The functional is GGA-PBE.

Unit cell a=3.9356 b=3.9356 c=9.1225 alpha=90.00 beta=90.00 gamma=90.00
Last column: nearest neighbours and their distance in Å.
Fractional positions:
Ba 0.0000 0.0000 0.0000  1 Cu 3.33, 4 Li 3.64
Ba 0.5000 0.5000 0.4070  1 Li 3.06
Li 0.5000 0.5000 0.7425  4 Cu 2.95, 1 Ba 3.06
Cu 0.0000 0.0000 0.6345  4 Li 2.95

symmetry: No. 99
E_form: 45 kJ/mol of formula units


Entry 8:
This record from Alexandria describes an optimized crystal structure of TaFeAu2. The functional is GGA-PBE.

Unit cell a=4.8509 b=4.8509 c=4.9960 alpha=100.47 beta=100.47 gamma=34.92
Last column: nearest neighbours and their distance in Å.
Fractional positions:
Ta 0.0000 0.0000 0.0000  3 Fe 2.72-2.89, 7 Au 2.79-2.96, 2 Ta 2.91
Fe 0.7386 0.7386 0.2361  3 Ta 2.72-2.89, 7 Au 2.79-2.95, 2 Fe 2.91
Au 0.2461 0.2461 0.7524  3 Ta 2.79-2.84, 5 Au 2.82-2.92, 4 Fe 2.83-2.95
Au 0.4857 0.4857 0.4795  3 Fe 2.79-2.84, 5 Au 2.82-2.92, 4 Ta 2.83-2.96

symmetry: No. 8
E_form: 34 kJ/mol of formula units


For reference, Fermi-level density of states by record: 1.459; 0.237; 0.272; 0.707; 0.000; 0.346; 1.037; 0.750 states/eV per atom.
For reference, E by record: -42.3; -8.6; -34.6; -44.0; -73.2; -49.6; -9.4; -26.5 eV per cell.
For reference, density by record: 6.915; 7.127; 15.301; 8.097; 3.031; 11.303; 4.056; 15.851 g/cm3.